First-principles (PBE-GGA) data for a relaxed AcAg2Au4 crystal, as listed in Alexandria via LeMat-Bulk.

energy above the lowest structure with this stoichiometry = 429 meV per atom
energy of formation from the pure elements = -3 kJ/mol of formula units
space-group type = I4/mmm (139)

Cell: 6.6784 6.6784 6.6784 Å, 99.38 99.38 132.38°
Atoms (fractional coordinates):
Ac: 0.0000 0.0000 0.0000
Ag: 0.2500 0.7500 0.5000
Ag: 0.7500 0.2500 0.5000
Au: 0.7249 0.5000 0.2249
Au: 0.5000 0.7249 0.2249
Au: 0.5000 0.2751 0.7751
Au: 0.2751 0.5000 0.7751

***

First-principles (PBE-GGA) data for a relaxed AcAgAu2 crystal, as listed in Alexandria via LeMat-Bulk.

energy above the lowest structure with this stoichiometry = 142 meV per atom
energy of formation from the pure elements = -180 kJ/mol of formula units
space-group type = P4/mmm (123)

Cell: 3.7550 3.7550 6.7795 Å, 90.00 90.00 90.00°
Atoms (fractional coordinates):
Ac: 0.5000 0.5000 0.5000
Au: 0.0000 0.0000 0.7874
Au: 0.0000 0.0000 0.2126
Ag: 0.5000 0.5000 0.0000

***

First-principles (PBE-GGA) data for a relaxed Ac2AgAu crystal, as listed in Alexandria via LeMat-Bulk.

energy of formation from the pure elements = -167 kJ/mol of formula units
space-group type = R3m (160)

Cell: 4.4901 4.4901 8.3408 Å, 74.34 74.34 59.94°
Atoms (fractional coordinates):
Ac: 0.0778 0.0778 0.7658
Ac: 0.2558 0.2558 0.2333
Ag: 0.4999 0.4999 0.5000
Au: 0.6665 0.6665 0.0009

***

First-principles (PBE-GGA) data for a relaxed AcAg2Au3 crystal, as listed in Alexandria via LeMat-Bulk.

energy of formation from the pure elements = -224 kJ/mol of formula units
space-group type = Cmcm (63)

Cell: 5.5572 7.0962 7.0962 Å, 92.38 90.00 90.00°
Atoms (fractional coordinates):
Ac: 0.2500 0.2750 0.2750
Ac: 0.7500 0.7250 0.7250
Ag: 0.5000 0.7527 0.2473
Ag: 0.0000 0.7527 0.2473
Ag: 0.0000 0.2473 0.7527
Ag: 0.5000 0.2473 0.7527
Au: 0.7500 0.4461 0.0822
Au: 0.7500 0.0822 0.4461
Au: 0.2500 0.5539 0.9178
Au: 0.7500 0.0523 0.0523
Au: 0.2500 0.9477 0.9477
Au: 0.2500 0.9178 0.5539

***

First-principles (PBE-GGA) data for a relaxed AcAgAu2 crystal, as listed in Alexandria via LeMat-Bulk.

energy above the lowest structure with this stoichiometry = 12 meV per atom
energy of formation from the pure elements = -230 kJ/mol of formula units
space-group type = C2/m (12)

Cell: 4.8265 5.6776 5.6831 Å, 129.71 115.19 89.92°
Atoms (fractional coordinates):
Ac: 0.5000 0.0000 0.0000
Ag: 0.0000 0.5000 0.0000
Au: 0.7194 0.7796 0.4398
Au: 0.2806 0.2204 0.5602

***

First-principles (PBE-GGA) data for a relaxed Ac4Ag5Au3 crystal, as listed in Alexandria via LeMat-Bulk.

energy of formation from the pure elements = -321 kJ/mol of formula units
space-group type = C2/m (12)

Cell: 5.0425 8.4378 9.4864 Å, 73.67 74.59 72.61°
Atoms (fractional coordinates):
Ac: 0.9674 0.2506 0.8145
Ac: 0.2581 0.7678 0.7160
Ac: 0.7419 0.2322 0.2840
Ac: 0.0326 0.7494 0.1855
Ag: 0.5983 0.9070 0.8964
Ag: 0.5000 0.5000 0.5000
Ag: 0.2796 0.4327 0.0082
Ag: 0.7204 0.5673 0.9918
Ag: 0.4017 0.0930 0.1036
Au: 0.3784 0.8712 0.3720
Au: 0.0000 0.5000 0.5000
Au: 0.6216 0.1288 0.6280

***

First-principles (PBE-GGA) data for a relaxed Ac4AgAu2 crystal, as listed in Alexandria via LeMat-Bulk.

energy above the lowest structure with this stoichiometry = 0 meV per atom
energy of formation from the pure elements = -303 kJ/mol of formula units
space-group type = I4/mmm (139)

Cell: 6.7524 6.7524 6.7524 Å, 108.93 109.74 109.74°
Atoms (fractional coordinates):
Ac: 0.5000 0.0000 0.0000
Ac: 0.5000 0.5000 0.5000
Ac: 0.0000 0.0000 0.5000
Ac: 0.0000 0.5000 0.0000
Au: 0.5000 0.5000 0.0000
Au: 0.5000 0.0000 0.5000
Ag: 0.0000 0.0000 0.0000

***

First-principles (PBE-GGA) data for a relaxed AcAg8Au3 crystal, as listed in Alexandria via LeMat-Bulk.

energy of formation from the pure elements = -18 kJ/mol of formula units
space-group type = P3m1 (156)

Cell: 5.5436 5.5436 9.1998 Å, 90.00 90.00 120.00°
Atoms (fractional coordinates):
Ac: 0.0000 0.0000 0.5652
Ag: 0.3333 0.6667 0.5003
Ag: 0.3333 0.6667 0.0036
Ag: 0.5033 0.0065 0.7662
Ag: 0.5033 0.4967 0.7662
Ag: 0.9935 0.4967 0.7662
Ag: 0.1641 0.3282 0.2427
Ag: 0.1641 0.8359 0.2427
Ag: 0.6718 0.8359 0.2427
Au: 0.6667 0.3333 0.4071
Au: 0.6667 0.3333 0.0621
Au: 0.0000 0.0000 0.9351

***

First-principles (PBE-GGA) data for a relaxed Ac3AgAu3 crystal, as listed in Alexandria via LeMat-Bulk.

energy above the lowest structure with this stoichiometry = 0 meV per atom
energy of formation from the pure elements = -473 kJ/mol of formula units
space-group type = Imm2 (44)

Cell: 4.6255 4.2754 10.9913 Å, 101.21 102.15 90.00°
Atoms (fractional coordinates):
Ac: 0.3161 0.8161 0.6323
Ac: 0.6806 0.1806 0.3612
Ac: 0.0045 0.0045 0.0089
Ag: 0.4334 0.4334 0.8668
Au: 0.1543 0.6543 0.3086
Au: 0.8470 0.3470 0.6940
Au: 0.5641 0.5641 0.1282

***

First-principles (PBE-GGA) data for a relaxed Ac3Ag2Au7 crystal, as listed in Alexandria via LeMat-Bulk.

energy of formation from the pure elements = -660 kJ/mol of formula units
space-group type = P2/m (10)

Cell: 4.6510 5.3671 12.3829 Å, 85.69 90.00 90.00°
Atoms (fractional coordinates):
Ac: 0.5000 0.5000 0.0000
Ac: 0.0000 0.0601 0.3244
Ac: 0.0000 0.9399 0.6756
Ag: 0.5000 0.5270 0.2967
Ag: 0.5000 0.4730 0.7033
Au: 0.5000 0.7503 0.4992
Au: 0.5000 0.2497 0.5008
Au: 0.0000 0.5966 0.1714
Au: 0.0000 0.0000 0.0000
Au: 0.0000 0.4034 0.8286
Au: 0.5000 0.0165 0.8486
Au: 0.5000 0.9835 0.1514

***

First-principles (PBE-GGA) data for a relaxed Ac2AgAu7 crystal, as listed in Alexandria via LeMat-Bulk.

energy of formation from the pure elements = -489 kJ/mol of formula units
space-group type = P-4m2 (115)

Cell: 4.2584 4.2584 12.9805 Å, 90.00 90.00 90.00°
Atoms (fractional coordinates):
Ac: 0.5000 0.0000 0.7469
Ac: 0.0000 0.5000 0.2531
Ag: 0.5000 0.5000 0.0000
Au: 0.0000 0.5000 0.8555
Au: 0.5000 0.0000 0.3556
Au: 0.5000 0.0000 0.1445
Au: 0.0000 0.5000 0.6444
Au: 0.0000 0.0000 0.5000
Au: 0.0000 0.0000 0.0000
Au: 0.5000 0.5000 0.5000

***

First-principles (PBE-GGA) data for a relaxed AcAgAu3 crystal, as listed in Alexandria via LeMat-Bulk.

energy of formation from the pure elements = -245 kJ/mol of formula units
space-group type = Pnma (62)

Cell: 5.1574 9.4902 9.5281 Å, 90.00 90.00 90.00°
Atoms (fractional coordinates):
Ac: 0.7500 0.7571 0.0004
Ac: 0.2500 0.7429 0.5004
Ac: 0.7500 0.2571 0.4996
Ac: 0.2500 0.2429 0.9996
Ag: 0.2500 0.0920 0.6507
Ag: 0.2500 0.5920 0.8493
Ag: 0.7500 0.4080 0.1507
Ag: 0.7500 0.9080 0.3493
Au: 0.2500 0.5970 0.1445
Au: 0.7500 0.4030 0.8555
Au: 0.2500 0.0970 0.3555
Au: 0.7500 0.9030 0.6445
Au: 0.2500 0.3913 0.6493
Au: 0.7500 0.1087 0.1493
Au: 0.2500 0.8913 0.8507
Au: 0.7500 0.6028 0.6529
Au: 0.2500 0.3972 0.3471
Au: 0.7500 0.1028 0.8471
Au: 0.7500 0.6087 0.3507
Au: 0.2500 0.8972 0.1529

***

Q: Which of these has the lowest energy of formation from the pure elements?
A: Ac3Ag2Au7